Entry 1:
A plane-wave DFT calculation with PBE-GGA was carried out for a relaxed SiPt3 crystal.

Computed properties:
Volume (Å³/f.u.): 61
Crystal system: orthorhombic
Spin magnetization (μB per atom): 0.00
SG: No. 65
ΔE_f (raw) (eV/atom): -0.312
ρ (Mg/m³): 16.76

Cell: 4.2041 4.2041 3.5041 Å, 90.00 90.00 101.07°
Closest atoms and distances in Å follow each position.
Sites, in units of the cell vectors:
1 Pt 0.0000 0.5000 0.5000  6 Pt 2.67-2.74, 4 Si 2.74
2 Pt 0.5000 0.0000 0.5000  6 Pt 2.67-2.74, 4 Si 2.74
3 Pt 0.5000 0.5000 0.0000  2 Si 2.67, 8 Pt 2.74
4 Si 0.0000 0.0000 0.0000  10 Pt 2.67-2.74

Entry 2:
A plane-wave DFT calculation with PBE-GGA was carried out for a relaxed GdLuTlNi crystal.

Computed properties:
Volume (Å³/f.u.): 93
Crystal system: cubic
Spin magnetization (μB per atom): 1.81
SG: No. 216
ρ (Mg/m³): 10.59
ΔH_f (0 K) (eV per formula unit): -1.0

Cell: 5.0913 5.0913 5.0913 Å, 60.00 60.00 60.00°
Closest atoms and distances in Å follow each position.
Sites, in units of the cell vectors:
1 Gd 0.5000 0.5000 0.5000  4 Tl 3.12, 4 Ni 3.12
2 Ni 0.2500 0.2500 0.2500  4 Gd 3.12, 4 Lu 3.12
3 Tl 0.7500 0.7500 0.7500  4 Gd 3.12, 4 Lu 3.12
4 Lu 0.0000 0.0000 0.0000  4 Tl 3.12, 4 Ni 3.12

Entry 3:
A plane-wave DFT calculation with PBE-GGA was carried out for a relaxed CdBi crystal.

Computed properties:
Volume (Å³/f.u.): 95
Crystal system: cubic
Spin magnetization (μB per atom): 0.00
SG: No. 223
ρ (Mg/m³): 5.59
ΔH_f (0 K) (eV per formula unit): 0.6

Cell: 8.3035 8.3035 8.3035 Å, 90.00 90.00 90.00°
Closest atoms and distances in Å follow each position.
Sites, in units of the cell vectors:
1 Cd 0.2500 0.0000 0.5000  4 Bi 2.94
2 Cd 0.7500 0.0000 0.5000  4 Bi 2.94
3 Cd 0.0000 0.5000 0.2500  4 Bi 2.94
4 Cd 0.0000 0.5000 0.7500  4 Bi 2.94
5 Cd 0.5000 0.2500 0.0000  4 Bi 2.94
6 Cd 0.5000 0.7500 0.0000  4 Bi 2.94
7 Bi 0.2500 0.5000 0.0000  4 Cd 2.94
8 Bi 0.7500 0.5000 0.0000  4 Cd 2.94
9 Bi 0.5000 0.0000 0.2500  4 Cd 2.94
10 Bi 0.5000 0.0000 0.7500  4 Cd 2.94
11 Bi 0.0000 0.2500 0.5000  4 Cd 2.94
12 Bi 0.0000 0.7500 0.5000  4 Cd 2.94

Entry 4:
A plane-wave DFT calculation with PBE-GGA was carried out for a relaxed Mg3Sc2Hg4 crystal.

Computed properties:
Volume (Å³/f.u.): 201
Crystal system: orthorhombic
Spin magnetization (μB per atom): 0.00
SG: No. 64
ρ (Mg/m³): 7.99
ΔH_f (0 K) (eV per formula unit): -1.9

Cell: 6.1487 7.7877 8.9214 Å, 90.00 110.16 90.00°
Closest atoms and distances in Å follow each position.
Sites, in units of the cell vectors:
1 Mg 0.0000 0.0000 0.0000  6 Hg 2.69-2.80
2 Mg 0.5000 0.5000 0.0000  6 Hg 2.69-2.80
3 Mg 0.5169 0.7500 0.5339  5 Hg 2.80-2.97, 2 Mg 3.07
4 Mg 0.9831 0.2500 0.4661  5 Hg 2.80-2.97, 2 Mg 3.07
5 Mg 0.4831 0.2500 0.4661  5 Hg 2.80-2.97, 2 Mg 3.07
6 Mg 0.0169 0.7500 0.5339  5 Hg 2.80-2.97, 2 Mg 3.07
7 Sc 0.0946 0.5959 0.1891  7 Hg 3.06-3.32
8 Sc 0.9054 0.4041 0.8109  7 Hg 3.06-3.32
9 Sc 0.4054 0.0959 0.8109  7 Hg 3.06-3.32
10 Sc 0.5946 0.9041 0.1891  7 Hg 3.06-3.32
11 Hg 0.6881 0.7500 0.8762  3 Mg 2.69-2.87
12 Hg 0.8119 0.2500 0.1238  3 Mg 2.69-2.87
13 Hg 0.3119 0.2500 0.1238  3 Mg 2.69-2.87
14 Hg 0.1881 0.7500 0.8762  3 Mg 2.69-2.87
15 Hg 0.1659 0.9577 0.3317  5 Mg 2.80-2.97, 1 Sc 3.06
16 Hg 0.8341 0.0423 0.6683  5 Mg 2.80-2.97, 1 Sc 3.06
17 Hg 0.3341 0.4577 0.6683  5 Mg 2.80-2.97, 1 Sc 3.06
18 Hg 0.6659 0.5423 0.3317  5 Mg 2.80-2.97, 1 Sc 3.06

Entry 5:
A plane-wave DFT calculation with PBE-GGA was carried out for a relaxed Sm5DyIn crystal.

Computed properties:
Volume (Å³/f.u.): 297
Crystal system: orthorhombic
Spin magnetization (μB per atom): 0.00
SG: No. 44
ρ (Mg/m³): 5.76
ΔH_f (0 K) (eV per formula unit): 5.1

Cell: 5.9418 8.5723 7.8163 Å, 123.25 112.34 90.00°
Closest atoms and distances in Å follow each position.
Sites, in units of the cell vectors:
1 Sm 0.2678 0.2501 0.5003  1 In 3.00, 1 Dy 3.01
2 Sm 0.1294 0.5000 0.0000  2 Dy 2.87-3.07
3 Sm 0.7675 0.7499 0.4997  1 In 3.00, 1 Dy 3.01
4 Sm 0.4132 0.8285 0.0000  2 Sm 2.94-3.28, 1 Dy 3.14, 1 In 3.21
5 Sm 0.4132 0.1715 0.0000  2 Sm 2.94-3.28, 1 Dy 3.14, 1 In 3.21
6 Dy 0.6459 0.5000 0.0000  6 Sm 2.87-3.14
7 In 0.8939 0.0000 0.0000  4 Sm 3.00-3.21

Entry 6:
A plane-wave DFT calculation with PBE-GGA was carried out for a relaxed SbOsBr2 crystal.

Computed properties:
Volume (Å³/f.u.): 87
Crystal system: cubic
Spin magnetization (μB per atom): 0.43
SG: No. 225
ΔE_f (raw) (eV/atom): 1.291
ρ (Mg/m³): 9.02

Cell: 4.9703 4.9703 4.9703 Å, 60.00 60.00 60.00°
Closest atoms and distances in Å follow each position.
Sites, in units of the cell vectors:
1 Sb 0.0000 0.0000 0.0000  8 Br 3.04
2 Os 0.5000 0.5000 0.5000  8 Br 3.04
3 Br 0.2500 0.2500 0.2500  4 Os 3.04, 4 Sb 3.04
4 Br 0.7500 0.7500 0.7500  4 Os 3.04, 4 Sb 3.04

Entry 7:
A plane-wave DFT calculation with PBE-GGA was carried out for a relaxed UHg2PbS6 crystal.

Computed properties:
Volume (Å³/f.u.): 269
Crystal system: trigonal
Spin magnetization (μB per atom): 0.00
SG: No. 148
ΔE_f (raw) (eV/atom): -0.511
ρ (Mg/m³): 6.42

Cell: 6.9507 6.9502 7.5711 Å, 62.67 62.66 59.99°
Closest atoms and distances in Å follow each position.
Sites, in units of the cell vectors:
1 U 0.3162 0.3162 0.0515  6 S 2.57
2 Hg 0.5741 0.5740 0.2780  3 S 2.50
3 Hg 0.0582 0.0584 0.8250  3 S 2.50
4 Pb 0.8161 0.8161 0.5516  6 S 2.93-2.94
5 S 0.5349 0.2279 0.2931  1 Hg 2.50, 1 U 2.57
6 S 0.2280 0.9440 0.2932  1 Hg 2.50, 1 U 2.57
7 S 0.9440 0.5346 0.2933  1 Hg 2.50, 1 U 2.57
8 S 0.4043 0.6883 0.8100  1 Hg 2.50, 1 U 2.57
9 S 0.6883 0.0977 0.8096  1 Hg 2.50, 1 U 2.57
10 S 0.0975 0.4044 0.8099  1 Hg 2.50, 1 U 2.57

Entry 8:
A plane-wave DFT calculation with PBE-GGA was carried out for a relaxed Er2SbAs crystal.

Computed properties:
Volume (Å³/f.u.): 108
Crystal system: trigonal
Spin magnetization (μB per atom): 0.00
SG: No. 160
ΔE_f (raw) (eV/atom): -1.188
ρ (Mg/m³): 8.19

Cell: 4.1766 4.1766 7.5286 Å, 73.90 73.90 60.00°
Closest atoms and distances in Å follow each position.
Sites, in units of the cell vectors:
1 Er 0.0758 0.0758 0.7726  3 As 2.89, 3 Sb 3.08
2 Er 0.2569 0.2569 0.2293  3 As 2.93, 3 Sb 3.10
3 Sb 0.4989 0.4989 0.5034  6 Er 3.08-3.10
4 As 0.6684 0.6684 0.9947  6 Er 2.89-2.93

Entry 9:
A plane-wave DFT calculation with PBE-GGA was carried out for a relaxed LiMgTiMn2 crystal.

Computed properties:
Volume (Å³/f.u.): 95
Crystal system: tetragonal
Spin magnetization (μB per atom): 0.96
SG: No. 123
ρ (Mg/m³): 3.31
ΔH_f (0 K) (eV per formula unit): 5.6

Cell: 4.7382 4.2220 4.7382 Å, 90.00 90.00 90.00°
Closest atoms and distances in Å follow each position.
Sites, in units of the cell vectors:
1 Mg 0.0000 0.0000 0.0000  2 Li 2.11
2 Mn 0.0000 0.0000 0.5000  2 Mg 2.37
3 Mn 0.5000 0.0000 0.0000  2 Mg 2.37
4 Li 0.0000 0.5000 0.0000  2 Mg 2.11
5 Ti 0.5000 0.5000 0.5000  8 Mn 3.17, 4 Li 3.35